1.
Density functional theory data (PBE) for crystalline Tl4Pd3F12 at its relaxed geometry.

abc: 8.0238 8.0238 8.0238
angles: 109.47 109.47 109.47
Sites, in units of the cell vectors:
Tl1 0.5000 0.5000 0.5000
Tl2 0.5000 0.0000 0.0000
Tl3 0.0000 0.0000 0.5000
Tl4 0.0000 0.5000 0.0000
Pd1 0.5000 0.5000 0.0000
Pd2 0.0000 0.5000 0.5000
Pd3 0.5000 0.0000 0.5000
F1 0.1511 0.6520 0.8031
F2 0.8489 0.3480 0.1969
F3 0.1511 0.3480 0.4992
F4 0.3480 0.1969 0.8489
F5 0.8031 0.1511 0.6520
F6 0.5008 0.8489 0.6520
F7 0.6520 0.5008 0.8489
F8 0.1969 0.8489 0.3480
F9 0.8489 0.6520 0.5008
F10 0.6520 0.8031 0.1511
F11 0.4992 0.1511 0.3480
F12 0.3480 0.4992 0.1511

Summary:
**Symmetry**: Im-3
**Total energy**: -4.01 eV per atom

2.
Density functional theory data (PBE) for crystalline TlPdF4 at its relaxed geometry.

abc: 5.8686 5.4728 7.8988
angles: 69.75 61.36 90.02
Sites, in units of the cell vectors:
Tl1 0.7501 0.2289 0.9999
Tl2 0.2499 0.7711 0.0001
Pd1 0.5000 0.5000 0.5000
Pd2 0.0000 0.0000 0.5000
F1 0.2886 0.4631 0.7938
F2 0.2115 0.2568 0.2061
F3 0.7114 0.5369 0.2062
F4 0.7885 0.7432 0.7939
F5 0.2227 0.1746 0.5850
F6 0.2773 0.7596 0.4150
F7 0.7773 0.8254 0.4150
F8 0.7227 0.2404 0.5850

Summary:
**Symmetry**: C2/c
**Offset from the most stable computed form**: 0.000 eV per atom

3.
Density functional theory data (PBE) for crystalline TlPd3F at its relaxed geometry.

abc: 4.4607 4.4607 4.4607
angles: 90.00 90.00 90.00
Sites, in units of the cell vectors:
Tl1 0.5000 0.5000 0.5000
Pd1 0.0000 0.5000 0.0000
Pd2 0.0000 0.0000 0.5000
Pd3 0.5000 0.0000 0.0000
F1 0.0000 0.0000 0.0000

Summary:
**Symmetry**: Pm-3m
**Offset from the most stable computed form**: 0.000 eV per atom

Question: Which formula does entry 3 have?
Answer: TlPd3F